No. 1
Entry from Alexandria: a relaxed structure of Sm5HgRh4 (GGA-PBE).

Lattice parameters (Å, degrees): 3.552 3.552 17.944 90.00 90.00 90.00
Sites, in units of the cell vectors:
1 Sm 0.500 0.500 0.500
2 Sm 0.500 0.500 0.309
3 Sm 0.500 0.500 0.691
4 Sm 0.500 0.500 0.881
5 Sm 0.500 0.500 0.119
6 Rh 0.000 0.000 0.597
7 Rh 0.000 0.000 0.790
8 Rh 0.000 0.000 0.403
9 Rh 0.000 0.000 0.210
10 Hg 0.000 0.000 0.000

Calculated values
- electronic total energy (eV per atom) = -6.0079
- crystal system = tetragonal
- calculated volume (A^3/atom) = 22.642

***

No. 2
Entry from Alexandria: a relaxed structure of Sm8Hg2Rh (GGA-PBE).

Lattice parameters (Å, degrees): 6.328 9.022 9.022 128.53 104.01 104.01
Sites, in units of the cell vectors:
1 Sm 0.288 0.843 0.618
2 Sm 0.144 0.280 0.280
3 Sm 0.654 0.159 0.388
4 Sm 0.654 0.388 0.159
5 Sm 0.288 0.618 0.843
6 Sm 0.986 0.196 0.806
7 Sm 0.763 0.730 0.730
8 Sm 0.986 0.806 0.196
9 Hg 0.479 0.289 0.722
10 Hg 0.479 0.722 0.289
11 Rh 0.278 0.004 0.004

Calculated values
- E above lowest polymorph (meV/atom) = 35
- electronic total energy (eV per atom) = -4.4171
- crystal system = monoclinic
- calculated volume (A^3/atom) = 30.412

***

No. 3
Entry from Alexandria: a relaxed structure of Sm3Hg3Rh2 (GGA-PBE).

Lattice parameters (Å, degrees): 4.374 5.186 8.964 100.26 104.12 90.00
Sites, in units of the cell vectors:
1 Hg 0.370 0.907 0.740
2 Hg 0.500 0.500 0.000
3 Hg 0.630 0.093 0.260
4 Sm 0.833 0.402 0.667
5 Sm 0.167 0.598 0.333
6 Sm 0.000 0.000 0.000
7 Rh 0.231 0.142 0.462
8 Rh 0.769 0.858 0.538

Calculated values
- E above lowest polymorph (meV/atom) = 102
- electronic total energy (eV per atom) = -4.2203
- crystal system = monoclinic
- calculated volume (A^3/atom) = 24.229

***

Spin magnetization (computed, μB/f.u.): 0.00; 0.00; 0.00